Here is Mg2CuIr after structural relaxation from OQMD. Energies are from GGA-PBE.

Total DFT energy (no corrections), eV per atom: -4.082
Calculated volume, Å³ per cell: 264.1
ρ, g/cm3: 7.7

Cell lengths 4.4232, 8.0096, 7.4535 Å; angles 90.00, 90.00, 90.00 degrees
Fractional coordinates of all 16 atoms:
Cu 0.0026 0.7500 0.0026
Cu 0.5026 0.2500 0.4974
Cu 0.4974 0.7500 0.5026
Cu 0.9974 0.2500 0.9974
Ir 0.4978 0.2500 0.1615
Ir 0.9978 0.7500 0.3385
Ir 0.0022 0.2500 0.6615
Ir 0.5022 0.7500 0.8385
Mg 0.5004 0.5836 0.1705
Mg 0.5004 0.9164 0.1705
Mg 0.0004 0.0836 0.3295
Mg 0.0004 0.4164 0.3295
Mg 0.9996 0.5836 0.6705
Mg 0.9996 0.9164 0.6705
Mg 0.4996 0.0836 0.8295
Mg 0.4996 0.4164 0.8295

***

Here is ScRe2Si3 after structural relaxation from OQMD. Energies are from GGA-PBE.

Total DFT energy (no corrections), eV per atom: -8.434
Calculated volume, Å³ per cell: 732.0
ρ, g/cm3: 9.1

Cell lengths 14.6013, 9.9649, 9.9649 Å; angles 149.68, 90.00, 90.00 degrees
Fractional coordinates of all 48 atoms:
Re 0.5000 0.3396 0.1668
Re 0.1136 0.8141 0.2190
Re 0.8864 0.8141 0.2190
Re 0.2312 0.2835 0.2835
Re 0.7688 0.2835 0.2835
Re 0.3887 0.7179 0.3141
Re 0.6113 0.7179 0.3141
Re 0.5000 0.1668 0.3396
Re 0.0000 0.8409 0.6663
Re 0.3887 0.3141 0.7179
Re 0.6113 0.3141 0.7179
Re 0.2681 0.7837 0.7837
Re 0.7319 0.7837 0.7837
Re 0.1136 0.2190 0.8141
Re 0.8864 0.2190 0.8141
Re 0.0000 0.6663 0.8409
Sc 0.3248 0.8757 0.1436
Sc 0.6752 0.8757 0.1436
Sc 0.1756 0.6443 0.3762
Sc 0.8244 0.6443 0.3762
Sc 0.1756 0.3762 0.6443
Sc 0.8244 0.3762 0.6443
Sc 0.3248 0.1436 0.8757
Sc 0.6752 0.1436 0.8757
Si 0.2512 0.5157 0.0158
Si 0.7488 0.5157 0.0158
Si 0.1434 0.9310 0.0804
Si 0.8566 0.9310 0.0804
Si 0.3894 0.0922 0.0922
Si 0.6106 0.0922 0.0922
Si 0.0000 0.3735 0.1331
Si 0.5000 0.9388 0.3573
Si 0.0000 0.1331 0.3735
Si 0.3560 0.5793 0.4304
Si 0.6440 0.5793 0.4304
Si 0.0000 0.8664 0.4451
Si 0.2512 0.0158 0.5157
Si 0.7488 0.0158 0.5157
Si 0.3560 0.4304 0.5793
Si 0.6440 0.4304 0.5793
Si 0.1097 0.5920 0.5920
Si 0.8903 0.5920 0.5920
Si 0.5000 0.8701 0.6339
Si 0.0000 0.4451 0.8664
Si 0.5000 0.6339 0.8701
Si 0.1434 0.0804 0.9310
Si 0.8566 0.0804 0.9310
Si 0.5000 0.3573 0.9388

***

Here is Dy2TmAl2Cd4 after structural relaxation from OQMD. Energies are from GGA-PBE.

Total DFT energy (no corrections), eV per atom: -3.125
Calculated volume, Å³ per cell: 208.3
ρ, g/cm3: 8.0

Cell lengths 4.5464, 7.2643, 7.2643 Å; angles 119.76, 90.00, 90.00 degrees
Fractional coordinates of all 9 atoms:
Al 0.5000 0.6664 0.3348
Al 0.5000 0.3348 0.6664
Cd 0.5000 0.7487 0.0000
Cd 0.5000 0.2510 0.2510
Cd 0.5000 0.0000 0.7487
Cd 0.0000 0.9975 0.9975
Dy 0.0000 0.4313 0.0010
Dy 0.0000 0.0010 0.4313
Tm 0.0000 0.5692 0.5692

***

Here is Nd2Fe14B after structural relaxation from OQMD. Energies are from GGA-PBE.

Excess energy over the best structure of this formula in the dataset, meV per atom: 242.7
Total DFT energy (no corrections), eV per atom: -7.609
Calculated volume, Å³ per cell: 944.8
ρ, g/cm3: 7.6

Cell lengths 8.6482, 8.6482, 12.6324 Å; angles 90.00, 90.00, 90.00 degrees
Each line ends with the local moment (μB).
Fractional coordinates of all 68 atoms:
B 0.9277 0.0723 0.0000  -0.08
B 0.0723 0.9277 0.0000  -0.08
B 0.4277 0.4277 0.5000  -0.08
B 0.5723 0.5723 0.5000  -0.08
Fe 0.5000 0.0000 0.0000  2.37
Fe 0.0000 0.5000 0.0000  2.35
Fe 0.5000 0.5000 0.0952  2.17
Fe 0.7431 0.0280 0.1171  2.28
Fe 0.9720 0.2569 0.1171  2.29
Fe 0.0280 0.7431 0.1171  2.29
Fe 0.2569 0.9720 0.1171  2.27
Fe 0.4773 0.1421 0.1775  2.46
Fe 0.1421 0.4773 0.1775  2.46
Fe 0.8579 0.5227 0.1775  2.47
Fe 0.5227 0.8579 0.1775  2.46
Fe 0.3987 0.3987 0.2396  2.18
Fe 0.6013 0.6013 0.2396  2.18
Fe 0.6974 0.3026 0.2492  2.61
Fe 0.3026 0.6974 0.2492  2.61
Fe 0.1974 0.1974 0.2508  2.62
Fe 0.8026 0.8026 0.2508  2.62
Fe 0.8987 0.1013 0.2604  2.19
Fe 0.1013 0.8987 0.2604  2.19
Fe 0.6421 0.0227 0.3225  2.48
Fe 0.9773 0.3579 0.3225  2.46
Fe 0.0227 0.6421 0.3225  2.47
Fe 0.3579 0.9773 0.3225  2.48
Fe 0.4720 0.2431 0.3829  2.29
Fe 0.2431 0.4720 0.3829  2.27
Fe 0.7569 0.5280 0.3829  2.27
Fe 0.5280 0.7569 0.3829  2.29
Fe 0.0000 0.0000 0.4048  2.15
Fe 0.5000 0.0000 0.5000  2.36
Fe 0.0000 0.5000 0.5000  2.38
Fe 0.0000 0.0000 0.5952  2.15
Fe 0.4720 0.2431 0.6171  2.29
Fe 0.2431 0.4720 0.6171  2.27
Fe 0.7569 0.5280 0.6171  2.27
Fe 0.5280 0.7569 0.6171  2.29
Fe 0.6421 0.0227 0.6775  2.48
Fe 0.9773 0.3579 0.6775  2.47
Fe 0.0227 0.6421 0.6775  2.46
Fe 0.3579 0.9773 0.6775  2.48
Fe 0.8987 0.1013 0.7396  2.19
Fe 0.1013 0.8987 0.7396  2.19
Fe 0.1974 0.1974 0.7492  2.62
Fe 0.8026 0.8026 0.7492  2.62
Fe 0.6974 0.3026 0.7508  2.61
Fe 0.3026 0.6974 0.7508  2.61
Fe 0.3987 0.3987 0.7604  2.18
Fe 0.6013 0.6013 0.7604  2.18
Fe 0.4773 0.1421 0.8225  2.46
Fe 0.1421 0.4773 0.8225  2.47
Fe 0.8579 0.5227 0.8225  2.46
Fe 0.5227 0.8579 0.8225  2.46
Fe 0.7431 0.0280 0.8829  2.27
Fe 0.9720 0.2569 0.8829  2.29
Fe 0.0280 0.7431 0.8829  2.29
Fe 0.2569 0.9720 0.8829  2.28
Fe 0.5000 0.5000 0.9048  2.17
Nd 0.2673 0.2673 0.0000  -0.22
Nd 0.6961 0.3039 0.0000  -0.21
Nd 0.3039 0.6961 0.0000  -0.21
Nd 0.7327 0.7327 0.0000  -0.22
Nd 0.1961 0.1961 0.5000  -0.22
Nd 0.7673 0.2327 0.5000  -0.22
Nd 0.2327 0.7673 0.5000  -0.22
Nd 0.8039 0.8039 0.5000  -0.22